Material: BiPdAu
Method: DFT, PBE
State: optimized geometry

It has space group F-43m (No. 216), with a = 6.500 Å, b = 6.500 Å, c = 6.500 Å, α = 90.00°, β = 90.00° and γ = 90.00°. The asymmetric unit holds Bi at (0.000, 0.000, 0.000), Pd at (0.250, 0.250, 0.250) and Au at (0.000, 0.000, 0.500).

The formation enthalpy at 0 K is -0.14 eV per atom. The relative energy among the computed polymorphs comes out at 42 meV/atom.


Material: LiCe3Sc3Se8
Method: DFT, PBE
State: optimized geometry

It has space group R-3m (No. 166, hexagonal axes), with a = 7.9752 Å, b = 7.9752 Å, c = 19.8476 Å, α = 90.00°, β = 90.00° and γ = 120.00°. The asymmetric unit holds Li at (0.0000, 0.0000, 0.0000), Ce at (0.0000, 0.5000, 0.5000), Sc at (0.0000, 0.5000, 0.0000), Se at (0.0000, 0.0000, 0.2586) and Se at (0.0078, 0.5039, 0.2561).

For the formation energy without anion corrections, the calculation gives -25.24 eV/f.u.


Material: YHoAs2
Method: DFT, PBE
State: optimized geometry

It has space group I4_1/amd (No. 141, origin choice 2), with a = 5.811 Å, b = 5.811 Å, c = 11.636 Å, α = 90.00°, β = 90.00° and γ = 90.00°. The asymmetric unit holds Y at (0.000, 0.250, 0.375), Ho at (0.000, 0.250, 0.875) and As at (0.000, 0.250, 0.124).

The formation enthalpy at 0 K is -1.55 eV per atom. The relative energy among the computed polymorphs comes out at 0 meV/atom.


| no. | calculated total energy (eV per atom) | Fermi-level density of states (states/eV/f.u.) |
| --- | --- | --- |
| 1 | -4.257 | 2.288 |
| 2 | -6.122 | 21.020 |
| 3 | -6.630 | 0.509 |